Model 1:
DFT (GGA-PBE) results for a geometry-optimized GeIr2PdF structure.

The structure in POSCAR format:
```
GeIr2PdF
1.0
4.614 0.000 0.000
0.000 4.614 0.000
0.000 0.000 4.686
Ge Ir Pd F
1 2 1 1
Direct
0.000 0.000 0.000
0.000 0.500 0.000
0.500 0.000 0.000
0.000 0.000 0.500
0.500 0.500 0.500
```

Space group: P4/mmm

Model 2:
DFT (GGA-PBE) results for a geometry-optimized GeIr2PdF structure.

The structure in POSCAR format:
```
GeIr2PdF
1.0
4.900 0.000 0.000
0.000 4.900 0.000
0.000 0.000 4.704
Ge Ir Pd F
1 2 1 1
Direct
0.000 0.000 0.000
0.000 0.500 0.500
0.500 0.000 0.500
0.000 0.000 0.500
0.500 0.500 0.000
```

Space group: P4/mmm

Most stable structure, least stable structure: model 1, model 2.

Model 1:
DFT (GGA-PBE) results for a geometry-optimized KGeF2 structure.

The structure in POSCAR format:
```
KGeF2
1.0
-2.674 2.674 6.404
2.674 -2.674 6.404
2.674 2.674 -6.404
K Ge F
2 2 4
Direct
0.000 0.000 0.000
0.750 0.250 0.500
0.250 0.750 0.500
0.500 0.500 0.000
0.183 0.625 0.058
0.375 0.433 0.558
0.567 0.125 0.942
0.875 0.817 0.442
```

Space group: I-42d

Model 2:
DFT (GGA-PBE) results for a geometry-optimized KGeF2 structure.

The structure in POSCAR format:
```
KGeF2
1.0
0.000 3.250 3.250
3.250 0.000 3.250
3.250 3.250 0.000
K Ge F
1 1 2
Direct
0.000 0.000 0.000
0.500 0.500 0.500
0.250 0.250 0.250
0.750 0.750 0.750
```

Space group: Fm-3m

Most stable structure, least stable structure: model 1, model 2.

Model 1:
DFT (GGA-PBE) results for a geometry-optimized KGe2F8 structure.

The structure in POSCAR format:
```
KGe2F8
1.0
5.322 -3.120 0.000
5.322 3.120 0.000
-0.258 0.000 5.123
K Ge F
1 2 8
Direct
0.000 0.000 0.000
0.355 0.355 0.389
0.645 0.645 0.611
0.072 0.650 0.435
0.260 0.260 0.094
0.350 0.928 0.565
0.484 0.484 0.744
0.516 0.516 0.256
0.650 0.072 0.435
0.740 0.740 0.906
0.928 0.350 0.565
```

Space group: C2/m

Model 2:
DFT (GGA-PBE) results for a geometry-optimized KGe2F8 structure.

The structure in POSCAR format:
```
KGe2F8
1.0
7.399 0.000 0.000
-3.700 6.408 0.000
0.000 0.000 3.968
K Ge F
1 2 8
Direct
0.000 0.000 0.000
0.333 0.667 0.279
0.667 0.333 0.721
0.193 0.387 0.278
0.193 0.807 0.278
0.333 0.667 0.777
0.387 0.193 0.722
0.613 0.807 0.278
0.667 0.333 0.223
0.807 0.193 0.722
0.807 0.613 0.722
```

Space group: P-3m1

Most stable structure, least stable structure: model 2, model 1.

Model 1:
DFT (GGA-PBE) results for a geometry-optimized KGeF6 structure.

The structure in POSCAR format:
```
KGeF6
1.0
3.807 -3.947 0.000
3.807 3.947 0.000
-2.520 0.000 4.229
K Ge F
1 1 6
Direct
0.000 0.000 0.000
0.500 0.500 0.000
0.242 0.242 0.657
0.258 0.587 0.180
0.413 0.742 0.820
0.587 0.258 0.180
0.742 0.413 0.820
0.758 0.758 0.343
```

Space group: C2/m

Model 2:
DFT (GGA-PBE) results for a geometry-optimized KGeF6 structure.

The structure in POSCAR format:
```
KGeF6
1.0
3.744 2.162 2.498
-3.744 2.162 2.498
0.000 -4.323 2.498
K Ge F
1 1 6
Direct
0.000 0.000 0.000
0.500 0.500 0.500
0.243 0.243 0.583
0.243 0.583 0.243
0.417 0.757 0.757
0.583 0.243 0.243
0.757 0.417 0.757
0.757 0.757 0.417
```

Space group: R-3m

Most stable structure, least stable structure: model 2, model 1.

Model 1:
DFT (GGA-PBE) results for a geometry-optimized K2GeF4 structure.

The structure in POSCAR format:
```
K2GeF4
1.0
-2.223 2.223 6.741
2.223 -2.223 6.741
2.223 2.223 -6.741
K Ge F
2 1 4
Direct
0.145 0.145 0.000
0.855 0.855 0.000
0.500 0.500 0.000
0.000 0.500 0.500
0.335 0.335 0.000
0.500 0.000 0.500
0.665 0.665 0.000
```

Space group: I4/mmm

Model 2:
DFT (GGA-PBE) results for a geometry-optimized K2GeF4 structure.

The structure in POSCAR format:
```
K2GeF4
1.0
6.868 0.000 0.000
0.000 5.649 0.000
-1.967 0.000 7.654
K Ge F
4 2 8
Direct
0.094 0.250 0.368
0.357 0.250 0.892
0.643 0.750 0.108
0.906 0.750 0.632
0.131 0.750 0.095
0.869 0.250 0.905
0.014 0.750 0.338
0.264 0.750 0.890
0.317 0.515 0.196
0.317 0.985 0.196
0.683 0.015 0.804
0.683 0.485 0.804
0.736 0.250 0.110
0.986 0.250 0.662
```

Space group: P2_1/m

Most stable structure, least stable structure: model 2, model 1.

Model 1:
DFT (GGA-PBE) results for a geometry-optimized KGeNF2 structure.

The structure in POSCAR format:
```
KGeNF2
1.0
4.642 0.000 0.000
0.000 4.642 0.000
0.000 0.000 4.909
K Ge N F
1 1 1 2
Direct
0.000 0.000 0.000
0.500 0.500 0.500
0.000 0.000 0.500
0.000 0.500 0.000
0.500 0.000 0.000
```

Space group: P4/mmm

Model 2:
DFT (GGA-PBE) results for a geometry-optimized KGeNF2 structure.

The structure in POSCAR format:
```
KGeNF2
1.0
4.414 0.000 0.000
0.000 4.414 0.000
0.000 0.000 3.446
K Ge N F
1 1 1 2
Direct
0.000 0.000 0.000
0.500 0.500 0.500
0.500 0.500 0.000
0.000 0.500 0.500
0.500 0.000 0.500
```

Space group: P4/mmm

Most stable structure, least stable structure: model 2, model 1.

Model 1:
DFT (GGA-PBE) results for a geometry-optimized La2GeF structure.

The structure in POSCAR format:
```
La2GeF
1.0
2.061 1.190 7.096
-2.061 1.190 7.096
0.000 -2.380 7.096
La Ge F
2 1 1
Direct
0.000 0.000 0.000
0.170 0.170 0.170
0.584 0.584 0.584
0.406 0.406 0.406
```

Space group: R3m

Model 2:
DFT (GGA-PBE) results for a geometry-optimized La2GeF structure.

The structure in POSCAR format:
```
La2GeF
1.0
2.239 1.293 7.915
-2.239 1.293 7.915
0.000 -2.586 7.915
La Ge F
2 1 1
Direct
0.099 0.099 0.099
0.901 0.901 0.901
0.500 0.500 0.500
0.000 0.000 0.000
```

Space group: R-3m

Most stable structure, least stable structure: model 2, model 1.

Model 1:
DFT (GGA-PBE) results for a geometry-optimized LaGeOF2 structure.

The structure in POSCAR format:
```
LaGeOF2
1.0
4.425 0.000 0.000
0.000 4.425 0.000
0.000 0.000 4.178
La Ge O F
1 1 1 2
Direct
0.000 0.000 0.000
0.500 0.500 0.500
0.500 0.500 0.000
0.000 0.500 0.500
0.500 0.000 0.500
```

Space group: P4/mmm

Model 2:
DFT (GGA-PBE) results for a geometry-optimized LaGeOF2 structure.

The structure in POSCAR format:
```
LaGeOF2
1.0
4.678 0.000 0.000
0.000 4.678 0.000
0.000 0.000 4.690
La Ge O F
1 1 1 2
Direct
0.000 0.000 0.000
0.500 0.500 0.500
0.000 0.000 0.500
0.000 0.500 0.000
0.500 0.000 0.000
```

Space group: P4/mmm

Most stable structure, least stable structure: model 2, model 1.

Model 1:
DFT (GGA-PBE) results for a geometry-optimized LiGeF3 structure.

The structure in POSCAR format:
```
LiGeF3
1.0
4.978 0.000 0.000
-2.488 4.312 0.000
-0.001 -2.867 7.025
Li Ge F
2 2 6
Direct
0.167 0.334 0.001
0.833 0.666 0.999
0.396 0.793 0.688
0.604 0.207 0.312
0.125 0.891 0.834
0.234 0.790 0.166
0.444 0.569 0.834
0.556 0.431 0.166
0.766 0.210 0.834
0.875 0.109 0.166
```

Space group: P-1

Model 2:
DFT (GGA-PBE) results for a geometry-optimized LiGeF3 structure.

The structure in POSCAR format:
```
LiGeF3
1.0
3.762 0.000 0.000
0.000 3.762 0.000
0.000 0.000 3.762
Li Ge F
1 1 3
Direct
0.000 0.000 0.000
0.500 0.500 0.500
0.000 0.000 0.500
0.000 0.500 0.000
0.500 0.000 0.000
```

Space group: Pm-3m

Model 3:
DFT (GGA-PBE) results for a geometry-optimized LiGeF3 structure.

The structure in POSCAR format:
```
LiGeF3
1.0
4.376 0.000 0.000
0.000 4.376 0.000
0.000 0.000 4.376
Li Ge F
1 1 3
Direct
0.000 0.000 0.000
0.500 0.500 0.500
0.000 0.500 0.500
0.500 0.000 0.500
0.500 0.500 0.000
```

Space group: Pm-3m

Model 4:
DFT (GGA-PBE) results for a geometry-optimized LiGeF3 structure.

The structure in POSCAR format:
```
LiGeF3
1.0
5.261 0.000 0.000
0.000 4.858 0.000
-0.680 0.000 14.381
Li Ge F
4 4 12
Direct
0.143 0.049 0.194
0.143 0.451 0.694
0.857 0.549 0.306
0.857 0.951 0.806
0.293 0.172 0.915
0.293 0.328 0.415
0.707 0.672 0.585
0.707 0.828 0.085
0.078 0.216 0.308
0.078 0.284 0.808
0.084 0.643 0.412
0.084 0.857 0.912
0.477 0.507 0.664
0.477 0.993 0.164
0.523 0.007 0.836
0.523 0.493 0.336
0.916 0.143 0.088
0.916 0.357 0.588
0.922 0.716 0.192
0.922 0.784 0.692
```

Space group: P2_1/c

Most stable structure, least stable structure: model 1, model 3.

Model 1:
DFT (GGA-PBE) results for a geometry-optimized LiGeF structure.

The structure in POSCAR format:
```
LiGeF
1.0
3.592 0.000 0.000
0.000 3.690 0.000
-0.182 0.000 8.164
Li Ge F
2 2 2
Direct
0.249 0.250 0.487
0.751 0.750 0.513
0.251 0.750 0.018
0.749 0.250 0.982
0.247 0.750 0.435
0.753 0.250 0.565
```

Space group: P2_1/m

Model 2:
DFT (GGA-PBE) results for a geometry-optimized LiGeF structure.

The structure in POSCAR format:
```
LiGeF
1.0
2.660 0.000 0.000
0.000 2.660 0.000
0.018 0.065 7.342
Li Ge F
1 1 1
Direct
0.000 0.000 0.000
0.500 0.500 0.500
0.500 0.500 0.000
```

Space group: P-1

Most stable structure, least stable structure: model 1, model 2.

Model 1:
DFT (GGA-PBE) results for a geometry-optimized LiGeF structure.

The structure in POSCAR format:
```
LiGeF
1.0
3.425 0.000 0.000
-0.001 3.760 0.000
-0.954 -0.297 8.337
Li Ge F
2 2 2
Direct
0.000 0.000 0.000
0.480 0.495 0.934
0.514 0.010 0.511
0.991 0.503 0.424
0.008 0.503 0.034
0.472 0.992 0.900
```

Space group: P1

Model 2:
DFT (GGA-PBE) results for a geometry-optimized LiGeF structure.

The structure in POSCAR format:
```
LiGeF
1.0
-1.438 2.450 6.618
1.438 -2.450 6.618
1.438 2.450 -6.618
Li Ge F
2 2 2
Direct
0.214 0.214 0.000
0.786 0.786 0.000
0.245 0.500 0.745
0.755 0.500 0.255
0.295 0.795 0.500
0.705 0.205 0.500
```

Space group: Immm

Model 3:
DFT (GGA-PBE) results for a geometry-optimized LiGeF structure.

The structure in POSCAR format:
```
LiGeF
1.0
2.736 0.000 0.000
0.000 2.816 0.000
-1.302 -0.743 11.748
Li Ge F
2 2 2
Direct
0.000 0.000 0.000
0.419 0.455 0.829
0.672 0.335 0.316
0.766 0.885 0.513
0.503 0.501 0.006
0.916 0.953 0.823
```

Space group: P1

Model 4:
DFT (GGA-PBE) results for a geometry-optimized LiGeF structure.

The structure in POSCAR format:
```
LiGeF
1.0
2.584 -2.583 0.000
2.584 2.583 0.000
-2.560 0.000 7.952
Li Ge F
2 2 2
Direct
0.250 0.750 0.000
0.750 0.250 0.000
0.486 0.486 0.497
0.988 0.988 0.499
0.282 0.282 0.065
0.717 0.717 0.935
```

Space group: Cm

Most stable structure, least stable structure: model 3, model 2.